[1]
TbV2CdO8 | PBE+U | optimized geometry

Structure (extended XYZ):
```
12
Lattice="5.8522 0.0000 0.0000 -2.9261 5.0682 0.0000 0.0000 0.0000 6.4250" Properties=species:S:1:pos:R:3 pbc="T T T"
Tb 0.0000 0.0000 0.0000
V 0.0000 3.3788 4.3475
V 2.9261 1.6894 2.0774
Cd 0.0000 0.0000 3.2125
O 0.0000 1.6824 4.8854
O -1.4691 4.2270 4.8854
O 1.4570 0.8412 1.5396
O 0.0000 3.3788 2.6895
O 2.9261 1.6894 3.7354
O 1.4691 4.2270 4.8854
O 4.3952 0.8412 1.5396
O 2.9261 3.3858 1.5396
```

Properties
M_tot, μB per cell: 1.090
Total energy, eV per cell: -83.125

---

[2]
TbCdWO6 | PBE+U | optimized geometry

Structure (extended XYZ):
```
9
Lattice="5.6310 0.0000 0.0000 -2.8155 4.8766 0.0000 0.0000 0.0000 4.6701" Properties=species:S:1:pos:R:3 pbc="T T T"
Tb 0.0000 0.0000 0.0000
Cd 0.0000 3.2511 2.3351
W 2.8155 1.6255 0.0000
O 1.9978 0.2049 3.6029
O 1.1764 1.6276 1.0672
O 3.6333 0.2049 1.0672
O 1.9941 3.0440 3.6029
O 4.4547 1.6276 3.6029
O 3.6369 3.0440 1.0672
```

Properties
M_tot, μB per cell: 1.056
Total energy, eV per cell: -60.376

---

[3]
Tb2CdWO8 | PBE+U | optimized geometry

Structure (extended XYZ):
```
12
Lattice="3.6121 -3.4768 0.0000 3.6121 3.4768 0.0000 -0.0296 0.0000 7.0588" Properties=species:S:1:pos:R:3 pbc="T T T"
Tb 0.0064 0.0000 1.7744
Tb 7.1882 0.0000 5.2844
Cd 3.5973 0.0000 3.5294
W 3.6121 0.0000 0.0000
O 3.5973 2.1082 3.5294
O 3.6121 1.9518 0.0000
O 2.2292 0.0000 5.6606
O 2.2774 0.0000 1.4234
O 4.9173 0.0000 5.6354
O 4.9654 0.0000 1.3982
O 3.6121 -1.9518 0.0000
O 3.5973 -2.1082 3.5294
```

Properties
M_tot, μB per cell: 1.955
Total energy, eV per cell: -83.107

---

Fermi-level density of states list, top to bottom, in states/eV per cell: 8.0; 5.0; 9.8